Th2MnPd | PBE-GGA | optimized geometry

a = 3.475 Å, b = 3.475 Å, c = 7.437 Å
α = 90.00°, β = 90.00°, γ = 90.00°
Atoms (fractional coordinates):
Pd: 0.500 0.500 0.500
Th: 0.000 0.000 0.768
Th: 0.000 0.000 0.232
Mn: 0.500 0.500 0.000

Results
Uncorrected energy   -7.48 eV per atom
Polymorph energy (0 for the lowest one)   0.000 eV per atom
D(E_F)   2.97 states/eV/f.u.
DFT formation energy   -177 meV per atom
Calculated volume   22.454 A^3/atom